# TaRhO2 GGA-PBE relaxed
data_TaRhO2
_chemical_formula_sum 'Ta1 Rh1 O2'
_cell_length_a 6.9693
_cell_length_b 6.9693
_cell_length_c 6.9693
_cell_angle_alpha 23.53
_cell_angle_beta 23.53
_cell_angle_gamma 23.53
_space_group_name_H-M_alt 'P 1'
_space_group_IT_number 1
_space_group_name_Hall 'P 1'
loop_
_atom_site_label
_atom_site_type_symbol
_atom_site_fract_x
_atom_site_fract_y
_atom_site_fract_z
_atom_site_occupancy
Rh1 Rh 0.0000 0.0000 0.0000 1
O1 O 0.8996 0.8996 0.8996 1
O2 O 0.1004 0.1004 0.1004 1
Ta1 Ta 0.5000 0.5000 0.5000 1
# Symmetry: R-3m
# Final energy: -34.65 eV for the cell shown
# V: 47.4 Å³ per cell
# M_tot: 0.00 μB/f.u.
# Energy relative to the elements, uncorrected: -1381 meV per atom